Computed, not measured: an optimized crystal structure of RbPSe3 at the PBE level of DFT.

Unit cell a=6.324 b=6.324 c=4.767 alpha=95.91 beta=95.91 gamma=72.48
Sites, in units of the cell vectors:
Rb 0.000 0.000 0.000
P 0.345 0.345 0.636
Se 0.003 0.493 0.514
Se 0.493 0.003 0.514
Se 0.524 0.524 0.916

Computed properties:
**Uncorrected energy**: -3.833 eV/atom
**Total moment**: 0.00 Bohr magnetons per cell
**Raw formation energy**: -0.47 eV per atom